VASP calculation (PBE) on crystalline CsZrTeO6 at its relaxed geometry.

a b c (Å): 5.5990 5.5990 6.5817
angles (deg): 90.00 90.00 120.00
Space group P312 (No. 149)
Asymmetric unit:
Cs (0.0000, 0.0000, 0.0000) x1
Zr (0.3333, 0.6667, 0.5000) x1
Te (0.6667, 0.3333, 0.5000) x1
O (0.4106, 0.0227, 0.6686) x6

E = -58.115 eV for the cell shown
Crystal system = trigonal
ρ = 4.16 g/cm³
V = 19.85 A^3/atom
E_form (uncorrected) = -1.76 eV/atom

---

VASP calculation (PBE) on crystalline Ba2Li3PdF12 at its relaxed geometry.

a b c (Å): 6.7519 6.7519 20.0897
angles (deg): 90.00 90.00 120.00
Space group R-3m (No. 166, hexagonal axes)
Asymmetric unit:
Ba (0.0000, 0.0000, 0.1005) x6
Li (0.0000, 0.5000, 0.0000) x9
Pd (0.0000, 0.0000, 0.5000) x3
F (0.0405, 0.5203, 0.3657) x18
F (0.0493, 0.5247, 0.1159) x18

E = -248.105 eV for the cell shown
Crystal system = trigonal
ρ = 3.96 g/cm³
V = 14.69 A^3/atom
E_form (uncorrected) = -2.53 eV/atom

---

VASP calculation (PBE) on crystalline ThNpHg2 at its relaxed geometry.

a b c (Å): 5.640 5.640 3.397
angles (deg): 90.00 90.00 90.00
Space group P4/mmm (No. 123)
Asymmetric unit:
Th (0.000, 0.000, 0.000) x1
Np (0.500, 0.500, 0.000) x1
Hg (0.000, 0.500, 0.500) x2

E = -20.626 eV for the cell shown
Crystal system = tetragonal
ρ = 13.37 g/cm³
V = 27.01 A^3/atom
ΔE_f = 85 meV per atom